(1)
This record from Alexandria via LeMat-Bulk describes a relaxed Mo3RhN crystal. The functional is PBE-GGA.

Lattice parameters (Å, degrees): 4.685 4.685 4.685 90.00 90.00 90.00
Last column: magnetic moment on the atom in μB.
Element x y z (fractional)
N 0.500 0.500 0.500  0.55
Mo 0.000 0.000 0.500  -0.27
Mo 0.000 0.500 0.000  -0.27
Mo 0.500 0.000 0.000  -0.37
Rh 0.000 0.000 0.000  0.01

Computed properties:
Crystal system   cubic
SG   Pm-3m
Calculated total energy   -6.867 eV/atom
Energy above the lowest structure with this stoichiometry   67.710 kcal/mol of atoms
E_form (uncorrected)   2.768 eV/atom

***

(2)
This record from Alexandria via LeMat-Bulk describes a relaxed SrH2PdCl8 crystal. The functional is PBE-GGA.

Lattice parameters (Å, degrees): 7.171 6.908 7.991 113.74 82.14 102.72
Element x y z (fractional)
Cl 0.080 0.761 0.703
H 0.650 0.749 0.219
Cl 0.618 0.730 0.385
Cl 0.128 0.798 0.119
Cl 0.872 0.202 0.881
Cl 0.920 0.239 0.297
Cl 0.382 0.270 0.615
Cl 0.697 0.779 0.987
Cl 0.303 0.221 0.013
Sr 0.000 0.000 0.500
H 0.350 0.251 0.781
Pd 0.000 0.000 0.000

Computed properties:
Crystal system   triclinic
SG   P-1
Calculated total energy   -3.278 eV/atom